Entry 1:
First-principles (GGA-PBE) data for La3CoSn after structural relaxation, as listed in the Alexandria database.

- Total magnetic moment: 0.000 μB per formula unit
- Calculated total energy: -54.978 eV per cell
- Fermi-level density of states: 1.54 states/eV/atom
- Energy of formation from the pure elements: -320 meV per atom
- Volume: 140.2 Å³/f.u.

Cell lengths 5.4691, 5.4691, 10.8238 Å; angles 90.00, 90.00, 120.00 degrees
With the nearest neighbours (Å) after each atom.
Space group P6_3/mmc (No. 194)
Asymmetric unit:
La1 0.0000 0.0000 0.2500 (multiplicity 2)  2 Co 2.71
La2 0.3333 0.6667 0.0561 (multiplicity 4)  3 Co 3.22, 1 Sn 3.31, 3 La 3.38
Co1 0.0000 0.0000 0.0000 (multiplicity 2)  2 La 2.71
Sn1 0.3333 0.6667 0.7500 (multiplicity 2)  5 La 3.16-3.31

Entry 2:
First-principles (GGA-PBE) data for BeNb2V after structural relaxation, as listed in the Alexandria database.

- Total magnetic moment: 0.000 μB per formula unit
- Calculated total energy: -90.960 eV per cell
- Fermi-level density of states: 1.16 states/eV/atom
- Energy of formation from the pure elements: 666 meV per atom
- Volume: 65.6 Å³/f.u.

Cell lengths 2.7405, 2.7405, 30.2647 Å; angles 90.00, 90.00, 120.00 degrees
With the nearest neighbours (Å) after each atom.
Space group R-3m (No. 166, hexagonal axes)
Asymmetric unit:
Be1 0.0000 0.0000 0.0000 (multiplicity 3)  2 Nb 2.56, 6 Be 2.74
Nb1 0.0000 0.0000 0.0847 (multiplicity 6)  1 Be 2.56, 6 Nb 2.74
V1 0.0000 0.0000 0.5000 (multiplicity 3)  6 V 2.74, 6 Nb 2.94

Entry 3:
First-principles (GGA-PBE) data for Ca3Mg5Zn10 after structural relaxation, as listed in the Alexandria database.

- Total magnetic moment: 0.000 μB per formula unit
- Calculated total energy: -121.317 eV per cell
- Fermi-level density of states: 0.43 states/eV/atom
- Energy of formation from the pure elements: -201 meV per atom
- Volume: 353.4 Å³/f.u.

Cell lengths 9.2697, 15.9733, 9.5475 Å; angles 90.00, 90.02, 90.00 degrees
With the nearest neighbours (Å) after each atom.
Space group Cc (No. 9)
Asymmetric unit:
Ca1 0.0000 0.1011 0.0000 (multiplicity 4)  11 Zn 3.19-3.42, 4 Mg 3.24-3.37, 1 Ca 3.57
Ca2 0.1148 0.3970 0.5001 (multiplicity 4)  9 Zn 3.21-3.46, 6 Mg 3.32-3.37, 2 Ca 3.56-3.57
Ca3 0.3047 0.2034 0.5028 (multiplicity 4)  10 Zn 3.19-3.51, 5 Mg 3.31-3.39, 1 Ca 3.56
Mg1 0.0321 0.4251 0.8387 (multiplicity 4)  6 Zn 2.96-3.18, 3 Mg 3.03-3.06
Mg2 0.0555 0.4187 0.1550 (multiplicity 4)  6 Zn 2.83-2.86, 3 Mg 3.03-3.06
Mg3 0.0889 0.0692 0.3372 (multiplicity 4)  8 Zn 2.92-3.13, 1 Mg 3.07, 1 Ca 3.24
Mg4 0.3006 0.1390 0.8327 (multiplicity 4)  7 Zn 2.94-3.18, 2 Mg 3.05-3.10, 1 Ca 3.27
Mg5 0.3086 0.1625 0.1546 (multiplicity 4)  6 Zn 2.82-2.88, 3 Mg 3.06-3.10
Zn1 0.0572 0.2497 0.2468 (multiplicity 4)  4 Zn 2.60-2.71, 2 Mg 2.84-2.85
Zn2 0.0602 0.2471 0.7451 (multiplicity 4)  5 Zn 2.60-2.81, 1 Mg 2.88
Zn3 0.0638 0.0798 0.6530 (multiplicity 4)  6 Zn 2.69-2.85, 2 Mg 2.94-2.97
Zn4 0.1615 0.2827 0.9921 (multiplicity 4)  6 Zn 2.60-2.88, 2 Mg 2.82-2.85
Zn5 0.3020 0.0034 0.5540 (multiplicity 4)  1 Zn 2.69, 2 Mg 2.82-2.83
Zn6 0.3085 0.3329 0.7570 (multiplicity 4)  6 Zn 2.66-2.76
Zn7 0.3116 0.3338 0.2422 (multiplicity 4)  7 Zn 2.64-2.88, 2 Mg 2.86
Zn8 0.3129 0.4319 0.9942 (multiplicity 4)  7 Zn 2.61-2.84, 1 Mg 2.85
Zn9 0.3133 0.4995 0.2462 (multiplicity 4)  5 Zn 2.61-2.79, 2 Mg 2.85-2.92
Zn10 0.4580 0.2857 0.9943 (multiplicity 4)  7 Zn 2.60-2.84, 1 Mg 2.85